Li6Ga5Ag, optimized geometry, DFT GGA-PBE; volume = 15.9 A^3/atom; total magnetic moment = 0.00 μB/atom; density of states at the Fermi level = 0.262 states/eV/atom; formation energy from the elements = -26 kJ per mole of atoms
1.0
3.675 -0.016 -1.039
-2.632 6.724 -2.271
0.119 0.283 7.563
Ga Li Ag
5 6 1
direct
0.500 0.831 0.169
0.000 0.669 0.331
0.000 0.331 0.669
0.500 0.500 0.500
0.500 0.169 0.831
0.252 0.420 0.084
0.751 0.251 0.251
0.252 0.084 0.420
0.748 0.916 0.580
0.249 0.749 0.749
0.748 0.580 0.916
0.000 0.000 0.000


LiGa4Ag5, optimized geometry, DFT GGA-PBE; volume = 17.2 A^3/atom; total magnetic moment = 0.00 μB/atom; energy relative to the lowest polymorph listed for this composition = 0 meV/atom; density of states at the Fermi level = 0.262 states/eV/atom; formation energy from the elements = -7 kJ per mole of atoms
1.0
-2.604 -3.200 2.374
4.063 -0.415 3.897
-2.705 6.451 0.958
Ag Li Ga
5 1 4
direct
0.894 0.786 0.787
0.500 0.500 0.000
0.691 0.911 0.382
0.106 0.214 0.213
0.309 0.089 0.618
0.500 0.000 0.000
0.699 0.407 0.398
0.301 0.593 0.602
0.093 0.722 0.186
0.907 0.278 0.814


Li3Ga2Ag2, optimized geometry, DFT GGA-PBE; volume = 15.8 A^3/atom; total magnetic moment = 0.00 μB/atom; energy relative to the lowest polymorph listed for this composition = 0 meV/atom; density of states at the Fermi level = 0.336 states/eV/atom; formation energy from the elements = -28 kJ per mole of atoms
1.0
4.269 -0.034 -1.369
-2.346 3.820 -0.006
-0.171 -0.052 6.863
Li Ga Ag
3 2 2
direct
0.000 0.000 0.000
0.714 0.856 0.571
0.286 0.144 0.429
0.858 0.429 0.287
0.142 0.571 0.713
0.434 0.717 0.151
0.566 0.283 0.849


Li5GaAg, optimized geometry, DFT GGA-PBE; volume = 18.1 A^3/atom; total magnetic moment = 0.00 μB/atom; energy relative to the lowest polymorph listed for this composition = 0 meV/atom; density of states at the Fermi level = 0.405 states/eV/atom; formation energy from the elements = -11 kJ per mole of atoms
1.0
4.081 0.683 0.000
-0.682 4.081 0.000
0.000 0.000 7.415
Li Ag Ga
5 1 1
direct
0.000 0.500 0.235
0.000 0.500 0.765
0.500 0.000 0.765
0.000 0.000 0.500
0.500 0.000 0.235
0.000 0.000 0.000
0.500 0.500 0.500


Li3GaAg5, optimized geometry, DFT GGA-PBE; volume = 16.4 A^3/atom; total magnetic moment = 0.00 μB/atom; energy relative to the lowest polymorph listed for this composition = 0 meV/atom; density of states at the Fermi level = 0.471 states/eV/atom; formation energy from the elements = -15 kJ per mole of atoms
1.0
-5.041 -1.739 1.196
-0.231 -4.006 -6.799
2.749 -3.472 6.536
Ag Ga Li
10 2 6
direct
0.750 0.316 0.000
0.000 0.333 0.667
0.500 0.667 0.333
0.000 0.667 0.333
0.750 0.000 0.316
0.250 0.316 0.316
0.500 0.333 0.667
0.250 0.000 0.684
0.250 0.684 0.000
0.750 0.684 0.684
0.000 0.000 0.000
0.500 0.000 0.000
0.750 0.649 0.000
0.250 0.649 0.649
0.750 0.000 0.649
0.250 0.000 0.351
0.750 0.351 0.351
0.250 0.351 0.000


Li2Ga2Ag, optimized geometry, DFT GGA-PBE; volume = 16.3 A^3/atom; total magnetic moment = 0.00 μB/atom; energy relative to the lowest polymorph listed for this composition = 28 meV/atom; density of states at the Fermi level = 0.204 states/eV/atom; formation energy from the elements = -23 kJ per mole of atoms
1.0
4.482 0.000 0.000
2.241 4.697 0.563
2.241 1.624 7.936
Li Ga Ag
4 4 2
direct
0.447 0.755 0.351
0.342 0.265 0.052
0.658 0.735 0.948
0.553 0.245 0.649
0.144 0.276 0.436
0.856 0.724 0.564
0.950 0.239 0.861
0.050 0.761 0.139
0.246 0.767 0.741
0.754 0.233 0.259


Li2Ga5Ag5, optimized geometry, DFT GGA-PBE; volume = 16.9 A^3/atom; total magnetic moment = 0.00 μB/atom; energy relative to the lowest polymorph listed for this composition = 5 meV/atom; density of states at the Fermi level = 0.330 states/eV/atom; formation energy from the elements = -11 kJ per mole of atoms
1.0
4.018 0.000 0.000
-2.009 6.146 -0.495
0.000 -3.656 8.521
Ga Li Ag
5 2 5
direct
0.746 0.491 0.758
0.254 0.509 0.242
0.000 0.000 0.000
0.162 0.324 0.499
0.838 0.676 0.501
0.081 0.161 0.750
0.919 0.839 0.250
0.405 0.810 0.742
0.661 0.321 0.989
0.339 0.679 0.011
0.500 0.000 0.500
0.595 0.190 0.258


Li2Ga3Ag5, optimized geometry, DFT GGA-PBE; volume = 17.3 A^3/atom; total magnetic moment = 0.00 μB/atom; energy relative to the lowest polymorph listed for this composition = 0 meV/atom; density of states at the Fermi level = 0.271 states/eV/atom; formation energy from the elements = -12 kJ per mole of atoms
1.0
5.524 0.208 -0.375
-0.751 7.781 -2.118
0.247 -0.340 8.088
Ag Li Ga
10 4 6
direct
0.011 0.290 0.197
0.611 0.278 0.965
0.250 0.454 0.546
0.489 0.803 0.710
0.389 0.722 0.035
0.989 0.710 0.803
0.511 0.197 0.290
0.111 0.965 0.278
0.750 0.546 0.454
0.889 0.035 0.722
0.623 0.871 0.380
0.123 0.380 0.871
0.877 0.620 0.129
0.377 0.129 0.620
0.750 0.959 0.041
0.378 0.521 0.229
0.622 0.479 0.771
0.878 0.229 0.521
0.250 0.041 0.959
0.122 0.771 0.479